VASP calculation (GGA-PBE) on an optimized crystal structure of PrRhC.

a = 3.7663 Å, b = 3.7663 Å, c = 7.6982 Å
α = 90.00°, β = 90.00°, γ = 90.00°
Space group P4/nmm (No. 129, origin choice 2)
Asymmetric unit:
Pr 0.2500 0.2500 0.1744
Rh 0.2500 0.2500 0.5910
C 0.2500 0.2500 0.8354

Properties
The calculated formation energy is 99 meV per atom. The value obtained for the volume is 18.2 Å³ per atom. The theoretical density comes out at 7.8 g cm⁻³. As for the energy above the most stable polymorph in this dataset: 0.151 eV per atom. The total moment comes out at 0.00 μB/f.u.